Density functional theory data (PBE-GGA) for a geometry-optimized Sr5Cd4Cu structure.

CIF file:
```
data_Sr5Cd4Cu
_symmetry_space_group_name_H-M 'P 4/m m m'
_symmetry_Int_Tables_number 123
_symmetry_space_group_name_Hall '-P 4 2'
_cell_length_a 3.9587
_cell_length_b 3.9587
_cell_length_c 20.5677
_cell_angle_alpha 90.00
_cell_angle_beta 90.00
_cell_angle_gamma 90.00
loop_
_atom_site_label
_atom_site_fract_x
_atom_site_fract_y
_atom_site_fract_z
_atom_site_occupancy
Sr1 0.0000 0.0000 0.0000 1
Sr2 0.0000 0.0000 0.2044 1
Sr3 0.0000 0.0000 0.4096 1
Cd1 0.5000 0.5000 0.1023 1
Cd2 0.5000 0.5000 0.3071 1
Cu1 0.5000 0.5000 0.5000 1
```

## Properties
* calculated formation energy: -0.2533 eV per atom

***

Density functional theory data (PBE-GGA) for a geometry-optimized NbCu2HgS4 structure.

CIF file:
```
data_NbCu2HgS4
_symmetry_space_group_name_H-M 'F m m 2'
_symmetry_Int_Tables_number 42
_symmetry_space_group_name_Hall 'F 2 -2'
_cell_length_a 8.0833
_cell_length_b 8.0866
_cell_length_c 10.4599
_cell_angle_alpha 90.00
_cell_angle_beta 90.00
_cell_angle_gamma 90.00
loop_
_atom_site_label
_atom_site_fract_x
_atom_site_fract_y
_atom_site_fract_z
_atom_site_occupancy
Nb1 0.0000 0.0000 0.0000 1
Cu1 0.2500 0.2500 0.2498 1
Hg1 0.0000 0.0000 0.4994 1
S1 0.0000 0.2272 0.8613 1
S2 0.2275 0.0000 0.1384 1
```

## Properties
* E_form (uncorrected): -3.2 eV/f.u.

***

Density functional theory data (PBE-GGA) for a geometry-optimized Tb3Pm4Tl structure.

CIF file:
```
data_Tb3Pm4Tl
_symmetry_space_group_name_H-M 'P m n 21'
_symmetry_Int_Tables_number 31
_symmetry_space_group_name_Hall 'P 2ac -2'
_cell_length_a 11.4983
_cell_length_b 6.2464
_cell_length_c 7.0865
_cell_angle_alpha 90.00
_cell_angle_beta 90.00
_cell_angle_gamma 90.00
loop_
_atom_site_label
_atom_site_fract_x
_atom_site_fract_y
_atom_site_fract_z
_atom_site_occupancy
Tb1 0.0000 0.1672 0.0000 1
Tb2 0.2435 0.9840 0.7503 1
Pm1 0.0000 0.1592 0.5001 1
Pm2 0.0000 0.6846 0.2485 1
Pm3 0.2490 0.5015 0.5010 1
Tl1 0.0000 0.6598 0.7546 1
```

## Properties
* calculated formation energy: -0.0573 eV per atom

***

Density functional theory data (PBE-GGA) for a geometry-optimized SmGd2Te structure.

CIF file:
```
data_SmGd2Te
_symmetry_space_group_name_H-M 'P 4/m m m'
_symmetry_Int_Tables_number 123
_symmetry_space_group_name_Hall '-P 4 2'
_cell_length_a 3.9299
_cell_length_b 3.9299
_cell_length_c 7.9080
_cell_angle_alpha 90.00
_cell_angle_beta 90.00
_cell_angle_gamma 90.00
loop_
_atom_site_label
_atom_site_fract_x
_atom_site_fract_y
_atom_site_fract_z
_atom_site_occupancy
Sm1 0.0000 0.0000 0.0000 1
Gd1 0.5000 0.5000 0.2805 1
Te1 0.0000 0.0000 0.5000 1
```

## Properties
* E_form (uncorrected): -2.4 eV/f.u.

***

Density functional theory data (PBE-GGA) for a geometry-optimized La2PuSi structure.

CIF file:
```
data_La2PuSi
_symmetry_space_group_name_H-M 'P 4/m m m'
_symmetry_Int_Tables_number 123
_symmetry_space_group_name_Hall '-P 4 2'
_cell_length_a 4.8159
_cell_length_b 4.8159
_cell_length_c 4.6033
_cell_angle_alpha 90.00
_cell_angle_beta 90.00
_cell_angle_gamma 90.00
loop_
_atom_site_label
_atom_site_fract_x
_atom_site_fract_y
_atom_site_fract_z
_atom_site_occupancy
La1 0.0000 0.5000 0.0000 1
Pu1 0.0000 0.0000 0.5000 1
Si1 0.5000 0.5000 0.5000 1
```

## Properties
* E_form (uncorrected): -0.8 eV/f.u.

***

Density functional theory data (PBE-GGA) for a geometry-optimized BeCrP structure.

CIF file:
```
data_BeCrP
_symmetry_space_group_name_H-M 'P 3 m 1'
_symmetry_Int_Tables_number 156
_symmetry_space_group_name_Hall 'P 3 -2"'
_cell_length_a 2.6905
_cell_length_b 2.6905
_cell_length_c 5.4729
_cell_angle_alpha 90.00
_cell_angle_beta 90.00
_cell_angle_gamma 120.00
loop_
_atom_site_label
_atom_site_fract_x
_atom_site_fract_y
_atom_site_fract_z
_atom_site_occupancy
Be1 0.0000 0.0000 0.0000 1
Cr1 0.6667 0.3333 0.3379 1
P1 0.3333 0.6667 0.6562 1
```

## Properties
* calculated formation energy: 0.2079 eV per atom

***

Density functional theory data (PBE-GGA) for a geometry-optimized Os5Ru3 structure.

CIF file:
```
data_Os5Ru3
_symmetry_space_group_name_H-M 'C m m m'
_symmetry_Int_Tables_number 65
_symmetry_space_group_name_Hall '-C 2 2'
_cell_length_a 7.6734
_cell_length_b 7.6832
_cell_length_c 3.8456
_cell_angle_alpha 90.00
_cell_angle_beta 90.00
_cell_angle_gamma 90.00
loop_
_atom_site_label
_atom_site_fract_x
_atom_site_fract_y
_atom_site_fract_z
_atom_site_occupancy
Os1 0.0000 0.0000 0.0000 1
Os2 0.0000 0.2497 0.5000 1
Os3 0.2500 0.2500 0.0000 1
Ru1 0.0000 0.5000 0.0000 1
Ru2 0.2499 0.0000 0.5000 1
```

## Properties
* calculated formation energy: 0.1087 eV per atom

***

Density functional theory data (PBE-GGA) for a geometry-optimized YSn3Pd structure.

CIF file:
```
data_YSn3Pd
_symmetry_space_group_name_H-M 'P m m n'
_symmetry_Int_Tables_number 59
_cell_length_a 4.3787
_cell_length_b 7.4811
_cell_length_c 7.6089
_cell_angle_alpha 90.00
_cell_angle_beta 90.00
_cell_angle_gamma 90.00
loop_
_symmetry_equiv_pos_as_xyz
'x,y,z'
'-x,-y,-z'
'-x+1/2,-y+1/2,z'
'x+1/2,y+1/2,-z'
'x+1/2,-y,-z'
'-x+1/2,y,z'
'-x,y+1/2,-z'
'x,-y+1/2,z'
loop_
_atom_site_label
_atom_site_fract_x
_atom_site_fract_y
_atom_site_fract_z
_atom_site_occupancy
Y1 0.2500 0.2500 0.2379 1
Sn1 0.2500 0.0402 0.8222 1
Sn2 0.2500 0.7500 0.4445 1
Pd1 0.2500 0.7500 0.0804 1
```

## Properties
* calculated formation energy: -0.4372 eV per atom

***

Density functional theory data (PBE-GGA) for a geometry-optimized Ce2SiNi3 structure.

CIF file:
```
data_Ce2SiNi3
_symmetry_space_group_name_H-M 'F m m m'
_symmetry_Int_Tables_number 69
_symmetry_space_group_name_Hall '-F 2 2'
_cell_length_a 7.3400
_cell_length_b 8.2603
_cell_length_c 14.3015
_cell_angle_alpha 90.00
_cell_angle_beta 90.00
_cell_angle_gamma 90.00
loop_
_atom_site_label
_atom_site_fract_x
_atom_site_fract_y
_atom_site_fract_z
_atom_site_occupancy
Ce1 0.2432 0.0000 0.0000 1
Ce2 0.2500 0.2500 0.2500 1
Si1 0.0000 0.0000 0.3342 1
Ni1 0.0000 0.0000 0.1718 1
Ni2 0.0000 0.2420 0.4145 1
```

## Properties
* E_form (uncorrected): -3.0 eV/f.u.

***

Density functional theory data (PBE-GGA) for a geometry-optimized AlFeAu4 structure.

CIF file:
```
data_AlFeAu4
_symmetry_space_group_name_H-M 'F -4 3 m'
_symmetry_Int_Tables_number 216
_symmetry_space_group_name_Hall 'F -4 2 3'
_cell_length_a 7.7017
_cell_length_b 7.7017
_cell_length_c 7.7017
_cell_angle_alpha 90.00
_cell_angle_beta 90.00
_cell_angle_gamma 90.00
loop_
_atom_site_label
_atom_site_fract_x
_atom_site_fract_y
_atom_site_fract_z
_atom_site_occupancy
Al1 0.0000 0.0000 0.0000 1
Fe1 0.2500 0.2500 0.2500 1
Au1 0.1249 0.1249 0.6249 1
```

## Properties
* calculated formation energy: 0.3474 eV per atom

***

Density functional theory data (PBE-GGA) for a geometry-optimized Cu2OsSe structure.

CIF file:
```
data_Cu2OsSe
_symmetry_space_group_name_H-M 'R 3 m'
_symmetry_Int_Tables_number 160
_symmetry_space_group_name_Hall 'R 3 -2"'
_cell_length_a 2.8880
_cell_length_b 2.8880
_cell_length_c 24.4935
_cell_angle_alpha 90.00
_cell_angle_beta 90.00
_cell_angle_gamma 120.00
loop_
_atom_site_label
_atom_site_fract_x
_atom_site_fract_y
_atom_site_fract_z
_atom_site_occupancy
Cu1 0.0000 0.0000 0.0000 1
Cu2 0.0000 0.0000 0.2560 1
Os1 0.0000 0.0000 0.7517 1
Se1 0.0000 0.0000 0.4958 1
```

## Properties
* E_form (uncorrected): 1.6 eV/f.u.

***

Density functional theory data (PBE-GGA) for a geometry-optimized Sm4SiBi structure.

CIF file:
```
data_Sm4SiBi
_symmetry_space_group_name_H-M 'C 1 2/c 1'
_symmetry_Int_Tables_number 15
_symmetry_space_group_name_Hall '-C 2yc'
_cell_length_a 16.1810
_cell_length_b 6.1866
_cell_length_c 7.7309
_cell_angle_alpha 90.00
_cell_angle_beta 105.10
_cell_angle_gamma 90.00
loop_
_atom_site_label
_atom_site_fract_x
_atom_site_fract_y
_atom_site_fract_z
_atom_site_occupancy
Sm1 0.0813 0.1036 0.4486 1
Sm2 0.1699 0.3946 0.1417 1
Si1 0.2500 0.2500 0.5000 1
Bi1 0.0000 0.3755 0.7500 1
```

## Properties
* E_form (uncorrected): -2.3 eV/f.u.

***

Computed energy, in the same sequence as the records: -1.870, -4.784, -4.465, -9.602, -7.611, -6.045, -10.388, -5.170, -6.277, -3.872, -5.318, -5.088 eV/atom.
Computed size of the total moment, in the same sequence as the records: 0.00, 0.02, 0.00, 3.77, 1.63, 0.00, 0.00, 0.00, 0.00, 0.55, 0.00, 0.00 μB/atom.